1.
Computed, not measured: a geometry-optimized NdTi2Ir2 structure at the PBE level of DFT.

Lattice parameters (Å, degrees): 4.290 4.290 6.195 110.26 110.26 90.00
Fractional positions:
Nd  0.000  0.000  0.000
Ti  0.750  0.250  0.500
Ir  0.378  0.378  0.756
Ir  0.622  0.622  0.244
Ti  0.250  0.750  0.500

Properties
Crystal system: tetragonal
DFT formation energy (eV per atom): -0.794

---

2.
Computed, not measured: a geometry-optimized Nd2TiZnIr2 structure at the PBE level of DFT.

Lattice parameters (Å, degrees): 5.805 6.424 8.137 113.25 110.90 90.00
Fractional positions:
Ti  0.500  0.750  0.000
Ir  0.163  0.894  0.787
Zn  0.000  0.250  0.000
Nd  0.584  0.827  0.653
Nd  0.416  0.173  0.347
Zn  0.000  0.750  0.000
Ir  0.625  0.394  0.787
Nd  0.931  0.673  0.347
Ir  0.837  0.106  0.213
Nd  0.069  0.327  0.653
Ti  0.500  0.250  0.000
Ir  0.375  0.606  0.213

Properties
Crystal system: orthorhombic
DFT formation energy (eV per atom): -0.610

---

3.
Computed, not measured: a geometry-optimized Nd12TlIr6 structure at the PBE level of DFT.

Lattice parameters (Å, degrees): 8.918 8.918 8.918 109.47 109.47 109.47
Fractional positions:
Tl  0.000  0.000  0.000
Ir  0.624  0.500  0.124
Ir  0.376  0.500  0.876
Nd  0.809  0.304  0.113
Ir  0.124  0.624  0.500
Nd  0.505  0.809  0.696
Nd  0.809  0.696  0.505
Nd  0.696  0.505  0.809
Ir  0.876  0.376  0.500
Nd  0.696  0.887  0.191
Nd  0.887  0.191  0.696
Ir  0.500  0.124  0.624
Nd  0.113  0.809  0.304
Nd  0.495  0.191  0.304
Nd  0.304  0.113  0.809
Nd  0.191  0.304  0.495
Nd  0.304  0.495  0.191
Ir  0.500  0.876  0.376
Nd  0.191  0.696  0.887

Properties
Crystal system: cubic
DFT formation energy (eV per atom): -0.475

---

4.
Computed, not measured: a geometry-optimized Nd3Tl2Ir structure at the PBE level of DFT.

Lattice parameters (Å, degrees): 5.539 7.724 9.660 113.65 106.66 90.00
Fractional positions:
Ir  0.000  0.750  0.000
Ir  0.000  0.250  0.000
Nd  0.129  0.629  0.258
Tl  0.695  0.444  0.390
Nd  0.500  0.750  0.000
Nd  0.500  0.250  0.000
Nd  0.871  0.871  0.742
Nd  0.129  0.129  0.258
Tl  0.695  0.944  0.390
Tl  0.305  0.056  0.610
Tl  0.305  0.556  0.610
Nd  0.871  0.371  0.742

Properties
Crystal system: monoclinic
DFT formation energy (eV per atom): -0.408

---

Please write out number 3 again, unchanged.
Computed, not measured: a geometry-optimized Nd12TlIr6 structure at the PBE level of DFT.

Lattice parameters (Å, degrees): 8.918 8.918 8.918 109.47 109.47 109.47
Fractional positions:
Tl  0.000  0.000  0.000
Ir  0.624  0.500  0.124
Ir  0.376  0.500  0.876
Nd  0.809  0.304  0.113
Ir  0.124  0.624  0.500
Nd  0.505  0.809  0.696
Nd  0.809  0.696  0.505
Nd  0.696  0.505  0.809
Ir  0.876  0.376  0.500
Nd  0.696  0.887  0.191
Nd  0.887  0.191  0.696
Ir  0.500  0.124  0.624
Nd  0.113  0.809  0.304
Nd  0.495  0.191  0.304
Nd  0.304  0.113  0.809
Nd  0.191  0.304  0.495
Nd  0.304  0.495  0.191
Ir  0.500  0.876  0.376
Nd  0.191  0.696  0.887

Properties
Crystal system: cubic
DFT formation energy (eV per atom): -0.475

---

Which formula does entry 2 have? Nd2TiZnIr2

---

What is the formula in the first record? NdTi2Ir2

---

Number 1 is which compound? NdTi2Ir2